DFT (PBE-GGA) results for a geometry-optimized NaCaAc structure.

Cell: 3.9041 3.9041 9.6119 Å, 90.00 90.00 120.00°
Last column: nearest neighbours and their distance in Å.
Space group P3m1 (No. 156)
Unique sites:
Na: 0.0000 0.0000 0.0000 (multiplicity 1)  3 Ca 3.90, 6 Na 3.90, 3 Ac 3.96
Ca: 0.6667 0.3333 0.3306 (multiplicity 1)  3 Ac 3.89, 3 Na 3.90, 6 Ca 3.90
Ac: 0.3333 0.6667 0.6609 (multiplicity 1)  3 Ca 3.89, 6 Ac 3.90, 3 Na 3.96

Results
**Energy above the lowest structure with this stoichiometry**: 0.029 eV/atom
**Formation energy**: 86 meV/atom
**Density of states at the Fermi level**: 1.13 states/eV/atom
**Electronic total energy**: -2.391 eV per atom